# 1
{"formula": "ZnNiRu2", "functional": "GGA-PBEsol", "state": "relaxed", "formation_enthalpy_0k_ev_per_fu": 0.5, "crystal_system": "monoclinic", "lattice": [[8.637, 0.000, 0.000], [0.000, 2.647, 0.000], [-0.840, 0.000, 4.432]], "species": ["Zn", "Zn", "Ni", "Ni", "Ru", "Ru", "Ru", "Ru"], "frac_coords": [[0.000, 0.000, 0.000], [0.500, 0.500, 0.000], [0.000, 0.500, 0.500], [0.500, 0.000, 0.500], [0.243, 0.000, 0.741], [0.257, 0.500, 0.259], [0.743, 0.500, 0.741], [0.757, 0.000, 0.259]]}

# 2
{"formula": "ZnNi2Ru", "functional": "GGA-PBEsol", "state": "relaxed", "formation_enthalpy_0k_ev_per_fu": -0.2, "crystal_system": "tetragonal", "lattice": [[2.570, 0.000, 0.000], [0.000, 2.570, 0.000], [0.000, 0.000, 7.083]], "species": ["Zn", "Ni", "Ni", "Ru"], "frac_coords": [[0.000, 0.000, 0.000], [0.500, 0.500, 0.249], [0.500, 0.500, 0.751], [0.000, 0.000, 0.500]]}

What is the formula in the first record? ZnNiRu2

Which formula does entry 2 have? ZnNi2Ru

Please write out number 1 again, unchanged.
{"formula": "ZnNiRu2", "functional": "GGA-PBEsol", "state": "relaxed", "formation_enthalpy_0k_ev_per_fu": 0.5, "crystal_system": "monoclinic", "lattice": [[8.637, 0.000, 0.000], [0.000, 2.647, 0.000], [-0.840, 0.000, 4.432]], "species": ["Zn", "Zn", "Ni", "Ni", "Ru", "Ru", "Ru", "Ru"], "frac_coords": [[0.000, 0.000, 0.000], [0.500, 0.500, 0.000], [0.000, 0.500, 0.500], [0.500, 0.000, 0.500], [0.243, 0.000, 0.741], [0.257, 0.500, 0.259], [0.743, 0.500, 0.741], [0.757, 0.000, 0.259]]}